Entry 1:
VASP calculation (PBE-GGA) on crystalline ZrMo3C at its relaxed geometry.

Summary:
Energy relative to the lowest polymorph listed for this composition (kJ/mol of formula units): 1625
Electronic total energy (Ha/atom): -0.2449
V (Å³/atom): 21.74
DOS(E_F) (states/eV/cell): 4.38
Formation enthalpy at 0 K (eV per atom): 3.39
Space group: Pm-3m

Cell lengths 4.772, 4.772, 4.772 Å; angles 90.00, 90.00, 90.00 degrees
Fractional coordinates of all 5 atoms:
Mo 0.500 0.000 0.000
C 0.500 0.500 0.500
Zr 0.000 0.000 0.000
Mo 0.000 0.000 0.500
Mo 0.000 0.500 0.000

Entry 2:
VASP calculation (PBE-GGA) on crystalline Li2H4Ru at its relaxed geometry.

Summary:
Energy relative to the lowest polymorph listed for this composition (kJ/mol of formula units): 27
Electronic total energy (Ha/atom): -0.1481
V (Å³/atom): 6.85
DOS(E_F) (states/eV/cell): 0.17
Space group: I-42d

Cell lengths 4.998, 4.998, 4.998 Å; angles 108.06, 108.06, 112.34 degrees
Fractional coordinates of all 14 atoms:
H 0.089 0.326 0.854
H 0.277 0.924 0.263
Ru 0.000 0.000 0.000
H 0.986 0.723 0.646
Li 0.514 0.625 0.389
Li 0.375 0.764 0.889
H 0.674 0.527 0.763
H 0.076 0.339 0.354
Ru 0.750 0.250 0.500
H 0.764 0.911 0.237
H 0.473 0.236 0.146
Li 0.875 0.486 0.111
H 0.661 0.014 0.737
Li 0.236 0.125 0.611

Entry 3:
VASP calculation (PBE-GGA) on crystalline Pa3PN6 at its relaxed geometry.

Summary:
Electronic total energy (Ha/atom): -0.3584
V (Å³/atom): 13.78
DOS(E_F) (states/eV/cell): 13.78
Space group: Cmc2_1
E_form (uncorrected) (eV per atom): -1.37

Cell lengths 5.425, 7.226, 7.226 Å; angles 103.29, 90.00, 90.00 degrees
Site moments in Bohr magnetons follow the coordinates.
Fractional coordinates of all 20 atoms:
P 0.521 0.808 0.192  0.01
Pa 0.471 0.298 0.083  0.65
N 0.159 0.403 0.890  -0.02
N 0.711 0.649 0.667  -0.03
N 0.711 0.333 0.351  -0.03
Pa 0.971 0.702 0.917  0.65
N 0.159 0.110 0.597  -0.02
N 0.718 0.209 0.791  -0.03
Pa 0.471 0.917 0.702  0.65
Pa 0.443 0.394 0.606  0.55
N 0.218 0.791 0.209  -0.03
N 0.621 0.947 0.053  -0.03
Pa 0.943 0.606 0.394  0.55
N 0.659 0.890 0.403  -0.02
N 0.121 0.053 0.947  -0.03
P 0.021 0.192 0.808  0.01
N 0.659 0.597 0.110  -0.02
N 0.211 0.351 0.333  -0.03
N 0.211 0.667 0.649  -0.03
Pa 0.971 0.083 0.298  0.65